VASP calculation (GGA+U) on CdCoP4O12 after structural relaxation.

Structure (CIF):
```
data_CdCoP4O12
_cell_length_a 12.2448
_cell_length_b 8.6980
_cell_length_c 10.0553
_cell_angle_alpha 90.00
_cell_angle_beta 118.02
_cell_angle_gamma 90.00
_space_group_name_H-M_alt 'C 1 2/c 1'
_space_group_IT_number 15
_space_group_name_Hall '-C 2yc'
loop_
_atom_site_label
_atom_site_type_symbol
_atom_site_fract_x
_atom_site_fract_y
_atom_site_fract_z
Cd1 Cd 0.0000 0.0471 0.2500
Co1 Co 0.2500 0.2500 0.5000
P1 P 0.0046 0.2744 0.9727
P2 P 0.1906 0.4978 0.1954
O1 O 0.0450 0.1361 0.9217
O2 O 0.0563 0.2535 0.4265
O3 O 0.0850 0.3776 0.6717
O4 O 0.1236 0.3840 0.0536
O5 O 0.2113 0.0810 0.3297
O6 O 0.2293 0.4175 0.3407
```

## Properties
- Calculated total energy: -6.807 eV per atom
- Spin magnetization: 3.00 μB/f.u.